{"formula": "ZnCuBiPd", "functional": "PBE-GGA", "state": "optimized geometry", "cell": [[0.000, 3.291, 3.291], [3.291, 0.000, 3.291], [3.291, 3.291, 0.000]], "species": ["Zn", "Cu", "Bi", "Pd"], "fractional_positions": [[0.000, 0.000, 0.000], [0.500, 0.500, 0.500], [0.250, 0.250, 0.250], [0.750, 0.750, 0.750]], "vol_a3_per_atom": 17.8, "density_g_cm3": 10.35, "polymorph_energy_mev_per_atom": 45, "sg": "No. 216", "e_tot_ev_per_cell": -14.0}


{"formula": "Pr5CuBi3", "functional": "PBE-GGA", "state": "optimized geometry", "cell": [[9.722, 0.000, 0.000], [-4.861, 8.419, 0.000], [0.000, 0.000, 6.662]], "species": ["Pr", "Pr", "Pr", "Pr", "Pr", "Pr", "Pr", "Pr", "Pr", "Pr", "Cu", "Cu", "Bi", "Bi", "Bi", "Bi", "Bi", "Bi"], "fractional_positions": [[0.000, 0.258, 0.250], [0.000, 0.742, 0.750], [0.258, 0.000, 0.250], [0.258, 0.258, 0.750], [0.333, 0.667, 0.000], [0.333, 0.667, 0.500], [0.667, 0.333, 0.000], [0.667, 0.333, 0.500], [0.742, 0.000, 0.750], [0.742, 0.742, 0.250], [0.000, 0.000, 0.000], [0.000, 0.000, 0.500], [0.000, 0.384, 0.750], [0.000, 0.616, 0.250], [0.384, 0.000, 0.750], [0.384, 0.384, 0.250], [0.616, 0.000, 0.250], [0.616, 0.616, 0.750]], "vol_a3_per_atom": 30.3, "density_g_cm3": 8.50, "sg": "No. 193", "e_tot_ev_per_cell": -92.5}


{"formula": "CuBiPt2", "functional": "PBE-GGA", "state": "optimized geometry", "cell": [[0.000, 3.280, 3.280], [3.280, 0.000, 3.280], [3.280, 3.280, 0.000]], "species": ["Cu", "Bi", "Pt", "Pt"], "fractional_positions": [[0.000, 0.000, 0.000], [0.750, 0.750, 0.750], [0.250, 0.250, 0.250], [0.500, 0.500, 0.500]], "vol_a3_per_atom": 17.6, "density_g_cm3": 15.59, "sg": "No. 216", "e_tot_ev_per_cell": -19.8}


{"formula": "Cu2BiPt", "functional": "PBE-GGA", "state": "optimized geometry", "cell": [[0.000, 3.243, 3.243], [3.243, 0.000, 3.243], [3.243, 3.243, 0.000]], "species": ["Cu", "Cu", "Bi", "Pt"], "fractional_positions": [[0.000, 0.000, 0.000], [0.250, 0.250, 0.250], [0.500, 0.500, 0.500], [0.750, 0.750, 0.750]], "vol_a3_per_atom": 17.0, "density_g_cm3": 12.93, "sg": "No. 216", "e_tot_ev_per_cell": -17.2}


{"formula": "CuBiPt", "functional": "PBE-GGA", "state": "optimized geometry", "cell": [[0.000, 3.107, 3.107], [3.107, 0.000, 3.107], [3.107, 3.107, 0.000]], "species": ["Cu", "Bi", "Pt"], "fractional_positions": [[0.000, 0.000, 0.000], [0.750, 0.750, 0.750], [0.250, 0.250, 0.250]], "vol_a3_per_atom": 20.0, "density_g_cm3": 12.95, "sg": "No. 216", "e_tot_ev_per_cell": -13.7}


{"formula": "CuReBiPt", "functional": "PBE-GGA", "state": "optimized geometry", "cell": [[0.000, 3.246, 3.246], [3.246, 0.000, 3.246], [3.246, 3.246, 0.000]], "species": ["Cu", "Re", "Bi", "Pt"], "fractional_positions": [[0.000, 0.000, 0.000], [0.500, 0.500, 0.500], [0.750, 0.750, 0.750], [0.250, 0.250, 0.250]], "vol_a3_per_atom": 17.1, "density_g_cm3": 15.87, "polymorph_energy_mev_per_atom": 0, "sg": "No. 216", "e_tot_ev_per_cell": -24.0}


{"formula": "CuReBiPt", "functional": "PBE-GGA", "state": "optimized geometry", "cell": [[0.000, 3.296, 3.296], [3.296, 0.000, 3.296], [3.296, 3.296, 0.000]], "species": ["Cu", "Re", "Bi", "Pt"], "fractional_positions": [[0.000, 0.000, 0.000], [0.750, 0.750, 0.750], [0.250, 0.250, 0.250], [0.500, 0.500, 0.500]], "vol_a3_per_atom": 17.9, "density_g_cm3": 15.17, "polymorph_energy_mev_per_atom": 191, "sg": "No. 216", "e_tot_ev_per_cell": -23.3}


{"formula": "CuBiPtS3", "functional": "PBE-GGA", "state": "optimized geometry", "cell": [[6.271, 0.000, 0.000], [0.000, 7.533, 0.000], [-0.047, -0.013, 12.021]], "species": ["Cu", "Cu", "Cu", "Cu", "Bi", "Bi", "Bi", "Bi", "Pt", "Pt", "Pt", "Pt", "S", "S", "S", "S", "S", "S", "S", "S", "S", "S", "S", "S"], "fractional_positions": [[0.000, 0.000, 0.000], [0.106, 0.417, 0.500], [0.500, 0.917, 0.411], [0.606, 0.500, 0.911], [0.170, 0.968, 0.729], [0.435, 0.468, 0.181], [0.670, 0.948, 0.681], [0.935, 0.448, 0.230], [0.236, 0.595, 0.991], [0.369, 0.094, 0.920], [0.735, 0.322, 0.420], [0.870, 0.822, 0.491], [0.226, 0.715, 0.457], [0.289, 0.765, 0.284], [0.290, 0.377, 0.857], [0.316, 0.878, 0.054], [0.317, 0.265, 0.627], [0.379, 0.215, 0.454], [0.726, 0.201, 0.954], [0.789, 0.151, 0.127], [0.791, 0.540, 0.554], [0.815, 0.039, 0.357], [0.817, 0.651, 0.784], [0.879, 0.701, 0.958]], "vol_a3_per_atom": 23.7, "density_g_cm3": 6.60, "polymorph_energy_mev_per_atom": 380, "sg": "No. 1", "e_tot_ev_per_cell": -104.7}


{"formula": "CuBiPtS3", "functional": "PBE-GGA", "state": "optimized geometry", "cell": [[4.994, 0.000, 0.000], [0.000, 7.789, 0.000], [0.000, 0.000, 12.684]], "species": ["Cu", "Cu", "Cu", "Cu", "Bi", "Bi", "Bi", "Bi", "Pt", "Pt", "Pt", "Pt", "S", "S", "S", "S", "S", "S", "S", "S", "S", "S", "S", "S"], "fractional_positions": [[0.025, 0.116, 0.440], [0.475, 0.884, 0.940], [0.525, 0.384, 0.560], [0.975, 0.616, 0.060], [0.093, 0.116, 0.131], [0.407, 0.884, 0.631], [0.593, 0.384, 0.869], [0.907, 0.616, 0.369], [0.005, 0.635, 0.749], [0.495, 0.365, 0.249], [0.505, 0.865, 0.251], [0.995, 0.135, 0.751], [0.233, 0.638, 0.912], [0.238, 0.384, 0.704], [0.240, 0.130, 0.911], [0.260, 0.870, 0.411], [0.262, 0.616, 0.204], [0.267, 0.362, 0.412], [0.733, 0.862, 0.088], [0.738, 0.116, 0.296], [0.740, 0.370, 0.089], [0.760, 0.630, 0.589], [0.762, 0.884, 0.796], [0.767, 0.138, 0.588]], "vol_a3_per_atom": 20.6, "density_g_cm3": 7.59, "polymorph_energy_mev_per_atom": 0, "sg": "No. 19", "e_tot_ev_per_cell": -113.8}


{"formula": "CuBiPtSe3", "functional": "PBE-GGA", "state": "optimized geometry", "cell": [[5.115, 0.000, 0.000], [0.000, 8.129, 0.000], [0.000, 0.000, 13.431]], "species": ["Cu", "Cu", "Cu", "Cu", "Bi", "Bi", "Bi", "Bi", "Pt", "Pt", "Pt", "Pt", "Se", "Se", "Se", "Se", "Se", "Se", "Se", "Se", "Se", "Se", "Se", "Se"], "fractional_positions": [[0.035, 0.112, 0.443], [0.465, 0.888, 0.943], [0.535, 0.388, 0.557], [0.965, 0.612, 0.057], [0.118, 0.120, 0.138], [0.382, 0.880, 0.638], [0.618, 0.380, 0.862], [0.882, 0.620, 0.362], [0.007, 0.637, 0.749], [0.493, 0.363, 0.249], [0.507, 0.863, 0.251], [0.993, 0.137, 0.751], [0.238, 0.139, 0.912], [0.240, 0.634, 0.912], [0.247, 0.384, 0.702], [0.253, 0.616, 0.202], [0.260, 0.366, 0.412], [0.262, 0.861, 0.412], [0.738, 0.361, 0.088], [0.740, 0.866, 0.088], [0.747, 0.116, 0.298], [0.753, 0.884, 0.798], [0.760, 0.134, 0.588], [0.762, 0.639, 0.588]], "vol_a3_per_atom": 23.3, "density_g_cm3": 8.38, "sg": "No. 19", "e_tot_ev_per_cell": -105.0}


{"formula": "SrCuBiPt", "functional": "PBE-GGA", "state": "optimized geometry", "cell": [[0.000, 3.569, 3.569], [3.569, 0.000, 3.569], [3.569, 3.569, 0.000]], "species": ["Sr", "Cu", "Bi", "Pt"], "fractional_positions": [[0.000, 0.000, 0.000], [0.500, 0.500, 0.500], [0.250, 0.250, 0.250], [0.750, 0.750, 0.750]], "vol_a3_per_atom": 22.7, "density_g_cm3": 10.14, "polymorph_energy_mev_per_atom": 226, "sg": "No. 216", "e_tot_ev_per_cell": -15.7}


{"formula": "SrCuBiPt", "functional": "PBE-GGA", "state": "optimized geometry", "cell": [[0.000, 3.530, 3.530], [3.530, 0.000, 3.530], [3.530, 3.530, 0.000]], "species": ["Sr", "Cu", "Bi", "Pt"], "fractional_positions": [[0.000, 0.000, 0.000], [0.250, 0.250, 0.250], [0.750, 0.750, 0.750], [0.500, 0.500, 0.500]], "vol_a3_per_atom": 22.0, "density_g_cm3": 10.48, "polymorph_energy_mev_per_atom": 131, "sg": "No. 216", "e_tot_ev_per_cell": -16.0}


{"formula": "SrCuBiPt", "functional": "PBE-GGA", "state": "optimized geometry", "cell": [[0.000, 3.561, 3.561], [3.561, 0.000, 3.561], [3.561, 3.561, 0.000]], "species": ["Sr", "Cu", "Bi", "Pt"], "fractional_positions": [[0.000, 0.000, 0.000], [0.250, 0.250, 0.250], [0.500, 0.500, 0.500], [0.750, 0.750, 0.750]], "vol_a3_per_atom": 22.6, "density_g_cm3": 10.20, "polymorph_energy_mev_per_atom": 0, "sg": "No. 216", "e_tot_ev_per_cell": -16.6}


{"formula": "TaCuBiPt", "functional": "PBE-GGA", "state": "optimized geometry", "cell": [[0.000, 3.317, 3.317], [3.317, 0.000, 3.317], [3.317, 3.317, 0.000]], "species": ["Ta", "Cu", "Bi", "Pt"], "fractional_positions": [[0.000, 0.000, 0.000], [0.500, 0.500, 0.500], [0.750, 0.750, 0.750], [0.250, 0.250, 0.250]], "vol_a3_per_atom": 18.2, "density_g_cm3": 14.76, "polymorph_energy_mev_per_atom": 0, "sg": "No. 216", "e_tot_ev_per_cell": -24.8}


{"formula": "TaCuBiPt", "functional": "PBE-GGA", "state": "optimized geometry", "cell": [[0.000, 3.334, 3.334], [3.334, 0.000, 3.334], [3.334, 3.334, 0.000]], "species": ["Ta", "Cu", "Bi", "Pt"], "fractional_positions": [[0.000, 0.000, 0.000], [0.750, 0.750, 0.750], [0.500, 0.500, 0.500], [0.250, 0.250, 0.250]], "vol_a3_per_atom": 18.5, "density_g_cm3": 14.53, "polymorph_energy_mev_per_atom": 78, "sg": "No. 216", "e_tot_ev_per_cell": -24.4}


{"formula": "CuBiTe3Pt", "functional": "PBE-GGA", "state": "optimized geometry", "cell": [[5.333, 0.000, 0.000], [0.000, 8.573, 0.000], [0.000, 0.000, 14.466]], "species": ["Cu", "Cu", "Cu", "Cu", "Bi", "Bi", "Bi", "Bi", "Te", "Te", "Te", "Te", "Te", "Te", "Te", "Te", "Te", "Te", "Te", "Te", "Pt", "Pt", "Pt", "Pt"], "fractional_positions": [[0.039, 0.108, 0.445], [0.461, 0.892, 0.945], [0.539, 0.392, 0.555], [0.961, 0.608, 0.055], [0.146, 0.122, 0.148], [0.354, 0.878, 0.648], [0.646, 0.378, 0.852], [0.854, 0.622, 0.352], [0.237, 0.148, 0.912], [0.245, 0.630, 0.911], [0.246, 0.614, 0.199], [0.254, 0.386, 0.699], [0.255, 0.370, 0.411], [0.263, 0.852, 0.412], [0.737, 0.352, 0.088], [0.745, 0.870, 0.089], [0.746, 0.886, 0.801], [0.754, 0.114, 0.301], [0.755, 0.130, 0.589], [0.763, 0.648, 0.588], [0.007, 0.639, 0.750], [0.493, 0.361, 0.250], [0.507, 0.861, 0.250], [0.993, 0.139, 0.750]], "vol_a3_per_atom": 27.6, "density_g_cm3": 8.54, "sg": "No. 19", "e_tot_ev_per_cell": -98.3}


{"formula": "CuBiPtW", "functional": "PBE-GGA", "state": "optimized geometry", "cell": [[0.000, 3.311, 3.311], [3.311, 0.000, 3.311], [3.311, 3.311, 0.000]], "species": ["Cu", "Bi", "Pt", "W"], "fractional_positions": [[0.000, 0.000, 0.000], [0.250, 0.250, 0.250], [0.500, 0.500, 0.500], [0.750, 0.750, 0.750]], "vol_a3_per_atom": 18.1, "density_g_cm3": 14.91, "polymorph_energy_mev_per_atom": 141, "sg": "No. 216", "e_tot_ev_per_cell": -24.0}


{"formula": "CuBiPtW", "functional": "PBE-GGA", "state": "optimized geometry", "cell": [[0.000, 3.279, 3.279], [3.279, 0.000, 3.279], [3.279, 3.279, 0.000]], "species": ["Cu", "Bi", "Pt", "W"], "fractional_positions": [[0.000, 0.000, 0.000], [0.750, 0.750, 0.750], [0.250, 0.250, 0.250], [0.500, 0.500, 0.500]], "vol_a3_per_atom": 17.6, "density_g_cm3": 15.34, "polymorph_energy_mev_per_atom": 0, "sg": "No. 216", "e_tot_ev_per_cell": -24.6}


{"formula": "ZrCuBiPt", "functional": "PBE-GGA", "state": "optimized geometry", "cell": [[0.000, 3.367, 3.367], [3.367, 0.000, 3.367], [3.367, 3.367, 0.000]], "species": ["Zr", "Cu", "Bi", "Pt"], "fractional_positions": [[0.000, 0.000, 0.000], [0.750, 0.750, 0.750], [0.250, 0.250, 0.250], [0.500, 0.500, 0.500]], "vol_a3_per_atom": 19.1, "density_g_cm3": 12.15, "polymorph_energy_mev_per_atom": 192, "sg": "No. 216", "e_tot_ev_per_cell": -22.7}


{"formula": "ZrCuBiPt", "functional": "PBE-GGA", "state": "optimized geometry", "cell": [[0.000, 3.388, 3.388], [3.388, 0.000, 3.388], [3.388, 3.388, 0.000]], "species": ["Zr", "Cu", "Bi", "Pt"], "fractional_positions": [[0.000, 0.000, 0.000], [0.250, 0.250, 0.250], [0.500, 0.500, 0.500], [0.750, 0.750, 0.750]], "vol_a3_per_atom": 19.4, "density_g_cm3": 11.93, "polymorph_energy_mev_per_atom": 0, "sg": "No. 216", "e_tot_ev_per_cell": -23.4}


{"formula": "ZrCuBiPt", "functional": "PBE-GGA", "state": "optimized geometry", "cell": [[0.000, 3.378, 3.378], [3.378, 0.000, 3.378], [3.378, 3.378, 0.000]], "species": ["Zr", "Cu", "Bi", "Pt"], "fractional_positions": [[0.000, 0.000, 0.000], [0.500, 0.500, 0.500], [0.750, 0.750, 0.750], [0.250, 0.250, 0.250]], "vol_a3_per_atom": 19.3, "density_g_cm3": 12.04, "polymorph_energy_mev_per_atom": 60, "sg": "No. 216", "e_tot_ev_per_cell": -23.2}


{"formula": "RbCuBi", "functional": "PBE-GGA", "state": "optimized geometry", "cell": [[0.000, 3.651, 3.651], [3.651, 0.000, 3.651], [3.651, 3.651, 0.000]], "species": ["Rb", "Cu", "Bi"], "fractional_positions": [[0.000, 0.000, 0.000], [0.750, 0.750, 0.750], [0.500, 0.500, 0.500]], "vol_a3_per_atom": 32.4, "density_g_cm3": 6.11, "polymorph_energy_mev_per_atom": 0, "sg": "No. 216", "e_tot_ev_per_cell": -7.8}


{"formula": "RbCuBi", "functional": "PBE-GGA", "state": "optimized geometry", "cell": [[0.000, 3.894, 3.894], [3.894, 0.000, 3.894], [3.894, 3.894, 0.000]], "species": ["Rb", "Cu", "Bi"], "fractional_positions": [[0.000, 0.000, 0.000], [0.250, 0.250, 0.250], [0.750, 0.750, 0.750]], "vol_a3_per_atom": 39.4, "density_g_cm3": 5.03, "polymorph_energy_mev_per_atom": 666, "sg": "No. 216", "e_tot_ev_per_cell": -5.8}


{"formula": "RbCuBiSe3", "functional": "PBE-GGA", "state": "optimized geometry", "cell": [[2.064, -7.696, 0.000], [2.064, 7.696, 0.000], [0.000, 0.000, 11.189]], "species": ["Rb", "Rb", "Cu", "Cu", "Bi", "Bi", "Se", "Se", "Se", "Se", "Se", "Se"], "fractional_positions": [[0.241, 0.759, 0.750], [0.759, 0.241, 0.250], [0.039, 0.961, 0.250], [0.961, 0.039, 0.750], [0.500, 0.500, 0.000], [0.500, 0.500, 0.500], [0.126, 0.874, 0.066], [0.126, 0.874, 0.434], [0.445, 0.555, 0.250], [0.555, 0.445, 0.750], [0.874, 0.126, 0.566], [0.874, 0.126, 0.934]], "vol_a3_per_atom": 29.6, "density_g_cm3": 5.56, "sg": "No. 63", "e_tot_ev_per_cell": -44.3}


{"formula": "CuReBi", "functional": "PBE-GGA", "state": "optimized geometry", "cell": [[0.000, 3.141, 3.141], [3.141, 0.000, 3.141], [3.141, 3.141, 0.000]], "species": ["Cu", "Re", "Bi"], "fractional_positions": [[0.000, 0.000, 0.000], [0.750, 0.750, 0.750], [0.500, 0.500, 0.500]], "vol_a3_per_atom": 20.7, "density_g_cm3": 12.29, "polymorph_energy_mev_per_atom": 0, "sg": "No. 216", "e_tot_ev_per_cell": -17.1}